Record 1
HgSbHI2: relaxed, GGA-PBEsol.

Cell: 5.919 5.919 5.491 Å, 90.00 90.00 90.00°
Space group P4/mmm (No. 123)
Asymmetric unit:
1 Hg 0.000 0.000 0.000 x1
2 Sb 0.000 0.000 0.500 x1
3 H 0.500 0.500 0.500 x1
4 I 0.000 0.500 0.000 x2

Results
Raw total energy ... -1.571 eV per atom
Volume ... 192 Å³/cell

***

Record 2
SrTlCd: relaxed, GGA-PBEsol.

Cell: 7.476 7.476 7.476 Å, 90.00 90.00 90.00°
Space group F-43m (No. 216)
Asymmetric unit:
1 Sr 0.000 0.000 0.000 x4
2 Tl 0.250 0.250 0.250 x4
3 Cd 0.250 0.250 0.750 x4

Results
Raw total energy ... -1.766 eV per atom
Volume ... 418 Å³/cell
Formation energy from the elements ... 12 kJ per mole of atoms

***

Record 3
LiYHfTa2: relaxed, GGA-PBEsol.

Cell: 4.600 4.600 4.705 Å, 90.00 90.00 90.00°
Space group P4/mmm (No. 123)
Asymmetric unit:
1 Li 0.000 0.000 0.000 x1
2 Y 0.500 0.500 0.500 x1
3 Hf 0.000 0.000 0.500 x1
4 Ta 0.000 0.500 0.000 x2

Results
Raw total energy ... -7.849 eV per atom
Volume ... 100 Å³/cell
Formation energy from the elements ... 99 kJ per mole of atoms